## Co2AsW (PBE)

Data for a relaxed structure of Co2AsW.

```
Co2AsW
1.0
4.850 -0.014 -0.016
2.133 4.356 0.016
-3.067 -2.853 2.444
As W Co
1 1 2
Direct
0.234 0.734 0.500
0.485 0.485 0.000
0.756 0.256 0.500
0.025 0.025 0.000
```

## Properties
Crystal system = orthorhombic
SG = Imm2, No. 44
DFT formation energy = 0.14 eV per atom
Total magnetization = 0.697 μB per formula unit
D(E_F) = 0.666 states/eV per atom
VASP energy = -7.813 eV per atom